CsSc2S3 | PBE | optimized geometry

The structure belongs to space group P6/mmm (No. 191); the cell edges are 6.9290, 6.9290 and 3.4382 Å and the angles 90.00°, 90.00° and 120.00°. Symmetry generates all atoms from Cs at (0.0000, 0.0000, 0.0000), Sc at (0.3333, 0.6667, 0.5000) and S at (0.0000, 0.5000, 0.0000).

Its energy above the lowest structure with this stoichiometry is 0.0187 eV per atom. The formation energy (no corrections) comes out at -1.599 eV/atom. For the total magnetization, the calculation gives 0.000 Bohr magnetons per cell. Its total DFT energy (no corrections) is -5.9151 eV/atom.


CsScS2 | PBE | optimized geometry

The structure belongs to space group P-3m1 (No. 164); the cell edges are 3.8867, 3.8867 and 8.0922 Å and the angles 90.00°, 90.00° and 120.00°. Symmetry generates all atoms from Cs at (0.0000, 0.0000, 0.0000), Sc at (0.0000, 0.0000, 0.5000) and S at (0.3333, 0.6667, 0.6724).

The formation energy (no corrections) comes out at -1.650 eV/atom. For the total magnetization, the calculation gives 0.000 Bohr magnetons per cell. Its total DFT energy (no corrections) is -5.5101 eV/atom.


CsSc4S6 | PBE | optimized geometry

The structure belongs to space group Cmcm (No. 63); the cell edges are 3.784, 12.702 and 20.317 Å and the angles 90.00°, 90.00° and 90.00°. Symmetry generates all atoms from Cs at (0.000, 0.159, 0.250), Sc at (0.000, 0.097, 0.631), Sc at (0.000, 0.369, 0.538), S at (0.000, 0.000, 0.000), S at (0.000, 0.129, 0.750), S at (0.000, 0.271, 0.078) and S at (0.000, 0.467, 0.643).

The formation energy (no corrections) comes out at -1.765 eV/atom. For the total magnetization, the calculation gives 0.000 Bohr magnetons per cell. Its total DFT energy (no corrections) is -6.3965 eV/atom.


Cs2Sc3S6 | PBE | optimized geometry

The structure belongs to space group C2/m (No. 12); the cell edges are 6.550, 11.344 and 8.496 Å and the angles 90.00°, 104.87° and 90.00°. Symmetry generates all atoms from Cs at (0.000, 0.167, 0.000), Sc at (0.000, 0.000, 0.500), Sc at (0.000, 0.333, 0.500), S at (0.223, 0.500, 0.672) and S at (0.224, 0.166, 0.672).

The formation energy (no corrections) comes out at -1.635 eV/atom. For the total magnetization, the calculation gives 0.000 Bohr magnetons per cell. Its total DFT energy (no corrections) is -5.7687 eV/atom.


Cs3ScS3 | PBE | optimized geometry

The structure belongs to space group C2/m (No. 12); the cell edges are 9.346, 14.301 and 8.412 Å and the angles 90.00°, 103.20° and 90.00°. Symmetry generates all atoms from Cs at (0.000, 0.183, 0.000), Cs at (0.000, 0.257, 0.500), Cs at (0.120, 0.500, 0.854), Sc at (0.166, 0.000, 0.644), S at (0.097, 0.000, 0.337) and S at (0.207, 0.362, 0.230).

Its energy above the lowest structure with this stoichiometry is 0.0000 eV per atom. The formation energy (no corrections) comes out at -1.471 eV/atom. For the total magnetization, the calculation gives 0.000 Bohr magnetons per cell. Its total DFT energy (no corrections) is -4.5103 eV/atom.


Cs5ScS4 | PBE | optimized geometry

The structure belongs to space group C2/m (No. 12); the cell edges are 20.413, 4.415 and 8.978 Å and the angles 90.00°, 105.05° and 90.00°. Symmetry generates all atoms from Cs at (0.000, 0.000, 0.000), Cs at (0.157, 0.500, 0.843), Cs at (0.166, 0.500, 0.351), Sc at (0.000, 0.000, 0.500), S at (0.002, 0.500, 0.303) and S at (0.134, 0.000, 0.583).

The formation energy (no corrections) comes out at -1.083 eV/atom. For the total magnetization, the calculation gives 0.000 Bohr magnetons per cell. Its total DFT energy (no corrections) is -3.7939 eV/atom.


CsScS2 | PBE | optimized geometry

The structure belongs to space group R3m (No. 160, hexagonal axes); the cell edges are 3.8936, 3.8936 and 24.0429 Å and the angles 90.00°, 90.00° and 120.00°. Symmetry generates all atoms from Cs at (0.0000, 0.0000, 0.0000), Sc at (0.0000, 0.0000, 0.8315), S at (0.0000, 0.0000, 0.2225) and S at (0.0000, 0.0000, 0.4404).

The formation energy (no corrections) comes out at -1.667 eV/atom. For the total magnetization, the calculation gives 0.000 Bohr magnetons per cell. Its total DFT energy (no corrections) is -5.5271 eV/atom.


CsScS2 | PBE | optimized geometry

The structure belongs to space group Fm-3m (No. 225); the cell edges are 7.236, 7.236 and 7.236 Å and the angles 90.00°, 90.00° and 90.00°. Symmetry generates all atoms from Cs at (0.000, 0.000, 0.000), Sc at (0.000, 0.000, 0.500) and S at (0.250, 0.250, 0.250).

The formation energy (no corrections) comes out at -0.721 eV/atom. For the total magnetization, the calculation gives 0.000 Bohr magnetons per cell. Its total DFT energy (no corrections) is -4.5814 eV/atom.